Record 1
SrMgGe2B: optimized geometry, PBE.

a = 5.6389 Å, b = 6.1007 Å, c = 5.6389 Å
α = 90.00°, β = 90.00°, γ = 90.00°
With the nearest neighbours (Å) after each atom.
Fractional coordinates of all 5 atoms:
B 0.5000 0.5000 0.5000  4 Mg 3.99, 8 Ge 4.15
Ge 0.5000 0.0000 0.0000  2 Sr 2.82
Ge 0.0000 0.0000 0.5000  2 Sr 2.82
Sr 0.0000 0.0000 0.0000  4 Ge 2.82, 2 Mg 3.05
Mg 0.0000 0.5000 0.0000  2 Sr 3.05

Computed properties:
- N(E_F) (states/eV/atom) = 0.9082
- formation energy from the elements (eV/f.u.) = 10.0

=====

Record 2
Sr2MgGeB: optimized geometry, PBE.

a = 6.0360 Å, b = 4.8731 Å, c = 6.0360 Å
α = 90.00°, β = 90.00°, γ = 90.00°
With the nearest neighbours (Å) after each atom.
Fractional coordinates of all 5 atoms:
Sr 0.5000 0.0000 0.0000  2 Ge 3.02
Sr 0.0000 0.0000 0.5000  2 Ge 3.02
Mg 0.0000 0.5000 0.0000  2 Ge 2.44
B 0.5000 0.5000 0.5000  8 Sr 3.88, 4 Mg 4.27
Ge 0.0000 0.0000 0.0000  2 Mg 2.44

Computed properties:
- N(E_F) (states/eV/atom) = 0.7285
- formation energy from the elements (eV/f.u.) = 3.4

=====

Record 3
MgTlGe2B: optimized geometry, PBE.

a = 4.9921 Å, b = 5.4854 Å, c = 4.9921 Å
α = 90.00°, β = 90.00°, γ = 90.00°
With the nearest neighbours (Å) after each atom.
Fractional coordinates of all 5 atoms:
Ge 0.5000 0.0000 0.0000  2 Mg 2.50
Ge 0.0000 0.0000 0.5000  2 Mg 2.50
Mg 0.0000 0.0000 0.0000  4 Ge 2.50, 2 Tl 2.74
B 0.5000 0.5000 0.5000  4 Tl 3.53, 8 Ge 3.71
Tl 0.0000 0.5000 0.0000  2 Mg 2.74

Computed properties:
- N(E_F) (states/eV/atom) = 0.6946
- formation energy from the elements (eV/f.u.) = 7.3

=====

Question: Number 2 is which compound?
Answer: Sr2MgGeB

=====

Question: The lowest N(E_F) belongs to which entry?
Answer: MgTlGe2B